# AcCeTl

A relaxed structure of AcCeTl (PBE, the Alexandria database).

```
AcCeTl
1.0
4.100 0.000 0.000
0.000 4.100 0.000
-2.050 -2.050 6.169
Tl Ce Ac
1 1 1
Cartesian
0.000 0.000 3.357
2.050 2.050 1.712
2.050 2.050 5.418
```

As for the formation enthalpy at 0 K: -0.089 eV per atom. The space-group type is I4mm (107).